A plane-wave DFT calculation with PBE was carried out for crystalline Ac2ThTe2As2 at its relaxed geometry.

Summary:
- Spin magnetization: 0.00 μB per atom
- Calculated total energy: -5.673 eV/atom
- Space group: No. 139
- Volume: 37.0 A^3/atom

a = 5.5684 Å, b = 5.5684 Å, c = 9.2276 Å
α = 107.56°, β = 107.56°, γ = 90.00°
Sites, in units of the cell vectors:
Ac  0.3810  0.3810  0.7620
Ac  0.6190  0.6190  0.2380
Th  0.0000  0.0000  0.0000
Te  0.1866  0.1866  0.3732
Te  0.8134  0.8134  0.6268
As  0.0000  0.5000  0.0000
As  0.5000  0.0000  0.0000

A plane-wave DFT calculation with PBE was carried out for crystalline NaPaBeO5 at its relaxed geometry.

Summary:
- Spin magnetization: 0.20 μB per atom
- Calculated total energy: -7.218 eV/atom
- Space group: No. 15
- Volume: 14.2 A^3/atom

a = 5.6722 Å, b = 5.6722 Å, c = 8.0620 Å
α = 105.49°, β = 105.49°, γ = 104.22°
Each line ends with the local moment (μB).
Sites, in units of the cell vectors:
Na  0.3408  0.6592  0.2500  0.00
Na  0.6592  0.3408  0.7500  0.00
Pa  0.0000  0.0000  0.5000  0.07
Pa  0.0000  0.0000  0.0000  0.07
Be  0.6871  0.3129  0.2500  -0.01
Be  0.3129  0.6871  0.7500  -0.01
O  0.0832  0.9168  0.2500  0.14
O  0.9168  0.0832  0.7500  0.14
O  0.8863  0.3022  0.1346  0.27
O  0.1137  0.6978  0.8654  0.27
O  0.6978  0.1137  0.3654  0.27
O  0.3022  0.8863  0.6346  0.27
O  0.7440  0.6060  0.3898  0.31
O  0.2560  0.3940  0.6102  0.31
O  0.3940  0.2560  0.1102  0.31
O  0.6060  0.7440  0.8898  0.31

A plane-wave DFT calculation with PBE was carried out for crystalline Sr2Al4Ga3Ge at its relaxed geometry.

Summary:
- Spin magnetization: 0.00 μB per atom
- Calculated total energy: -3.537 eV/atom
- Space group: No. 115
- Volume: 21.9 A^3/atom

a = 4.4978 Å, b = 4.4978 Å, c = 10.8091 Å
α = 90.00°, β = 90.00°, γ = 90.00°
Sites, in units of the cell vectors:
Sr  0.5000  0.0000  0.2524
Sr  0.0000  0.5000  0.7476
Al  0.5000  0.5000  0.0000
Al  0.0000  0.0000  0.0000
Al  0.5000  0.0000  0.6287
Al  0.0000  0.5000  0.3713
Ga  0.0000  0.0000  0.5000
Ga  0.5000  0.0000  0.8667
Ga  0.0000  0.5000  0.1333
Ge  0.5000  0.5000  0.5000

A plane-wave DFT calculation with PBE was carried out for crystalline Tl3HgH at its relaxed geometry.

Summary:
- Spin magnetization: 0.00 μB per atom
- Relative energy among the computed polymorphs: 0.000 eV/atom
- Space group: No. 2
- Volume: 25.7 A^3/atom

a = 3.5258 Å, b = 8.8640 Å, c = 8.8161 Å
α = 83.30°, β = 109.58°, γ = 96.94°
Sites, in units of the cell vectors:
Tl  0.2267  0.5991  0.1471
Tl  0.5080  0.3587  0.8916
Tl  0.5337  0.2200  0.2622
Tl  0.8184  0.9793  0.0071
Tl  0.1312  0.8910  0.4260
Tl  0.9122  0.6874  0.7283
Hg  0.2245  0.4491  0.4989
Hg  0.8198  0.1292  0.6550
H  0.2723  0.8328  0.9200
H  0.7730  0.7455  0.2343

A plane-wave DFT calculation with PBE was carried out for crystalline BaTl2Tc at its relaxed geometry.

Summary:
- Spin magnetization: 0.30 μB per atom
- Relative energy among the computed polymorphs: 0.216 eV/atom
- Space group: No. 122
- Volume: 37.5 A^3/atom

a = 5.7830 Å, b = 5.7830 Å, c = 9.8506 Å
α = 72.93°, β = 72.93°, γ = 90.00°
Each line ends with the local moment (μB).
Sites, in units of the cell vectors:
Tl  0.4530  0.1250  0.2500  -0.04
Tl  0.2970  0.6250  0.2500  -0.04
Tl  0.3750  0.5470  0.7500  -0.03
Tl  0.8750  0.7030  0.7500  -0.04
Ba  0.0000  0.0000  0.0000  -0.04
Ba  0.7500  0.2500  0.5000  -0.04
Tc  0.5000  0.5000  0.0000  1.27
Tc  0.2500  0.7500  0.5000  1.27

A plane-wave DFT calculation with PBE was carried out for crystalline SmDy14Sc at its relaxed geometry.

Summary:
- Spin magnetization: 0.00 μB per atom
- Calculated total energy: -4.695 eV/atom
- Space group: No. 123
- Volume: 31.1 A^3/atom

a = 7.0640 Å, b = 7.0640 Å, c = 9.9680 Å
α = 90.00°, β = 90.00°, γ = 90.00°
Sites, in units of the cell vectors:
Sm  0.8750  0.1250  0.0000
Dy  0.3749  0.6251  0.5000
Dy  0.8750  0.1250  0.5000
Dy  0.8750  0.6250  0.0000
Dy  0.8750  0.6250  0.5000
Dy  0.3750  0.1250  0.0000
Dy  0.3750  0.1250  0.5000
Dy  0.6230  0.8730  0.7517
Dy  0.6230  0.8730  0.2483
Dy  0.1270  0.3770  0.7517
Dy  0.1270  0.3770  0.2483
Dy  0.1270  0.8730  0.7518
Dy  0.1270  0.8730  0.2482
Dy  0.6230  0.3770  0.7517
Dy  0.6230  0.3770  0.2483
Sc  0.3751  0.6249  0.0000

A plane-wave DFT calculation with PBE was carried out for crystalline NbBi3H at its relaxed geometry.

Summary:
- Spin magnetization: 0.49 μB per atom
- Calculated total energy: -4.344 eV/atom
- Space group: No. 221
- Volume: 23.0 A^3/atom

a = 4.8621 Å, b = 4.8621 Å, c = 4.8621 Å
α = 90.00°, β = 90.00°, γ = 90.00°
Each line ends with the local moment (μB).
Sites, in units of the cell vectors:
H  0.0000  0.0000  0.0000  0.01
Nb  0.5000  0.5000  0.5000  2.06
Bi  0.0000  0.5000  0.0000  -0.07
Bi  0.0000  0.0000  0.5000  -0.03
Bi  0.5000  0.0000  0.0000  -0.05

A plane-wave DFT calculation with PBE was carried out for crystalline PrErPaO6 at its relaxed geometry.

Summary:
- Spin magnetization: 0.09 μB per atom
- Calculated total energy: -8.547 eV/atom
- Space group: No. 149
- Volume: 15.7 A^3/atom

a = 4.6949 Å, b = 5.8940 Å, c = 5.8940 Å
α = 120.00°, β = 90.00°, γ = 90.00°
Each line ends with the local moment (μB).
Sites, in units of the cell vectors:
Pr  0.5000  0.6667  0.3333  -0.01
Er  0.5000  0.0000  0.0000  -0.01
Pa  0.0000  0.3333  0.6667  -0.01
O  0.7468  0.6558  0.6838  0.11
O  0.7468  0.3162  0.9720  0.11
O  0.7468  0.0280  0.3442  0.11
O  0.2532  0.3162  0.3442  0.11
O  0.2532  0.6558  0.9720  0.11
O  0.2532  0.0280  0.6838  0.11

A plane-wave DFT calculation with PBE was carried out for crystalline CaMgCdIr2 at its relaxed geometry.

Summary:
- Spin magnetization: 0.00 μB per atom
- Calculated total energy: -3.609 eV/atom
- Space group: No. 123
- Volume: 21.8 A^3/atom

a = 4.6880 Å, b = 4.9534 Å, c = 4.6880 Å
α = 90.00°, β = 90.00°, γ = 90.00°
Sites, in units of the cell vectors:
Ca  0.0000  0.5000  0.0000
Ir  0.0000  0.0000  0.5000
Ir  0.5000  0.0000  0.0000
Mg  0.0000  0.0000  0.0000
Cd  0.5000  0.5000  0.5000

A plane-wave DFT calculation with PBE was carried out for crystalline Sc3ZnW at its relaxed geometry.

Summary:
- Spin magnetization: 0.00 μB per atom
- Relative energy among the computed polymorphs: 0.317 eV/atom
- Space group: No. 221
- Volume: 23.0 A^3/atom

a = 4.8647 Å, b = 4.8647 Å, c = 4.8647 Å
α = 90.00°, β = 90.00°, γ = 90.00°
Sites, in units of the cell vectors:
Sc  0.0000  0.5000  0.0000
Sc  0.0000  0.0000  0.5000
Sc  0.5000  0.0000  0.0000
Zn  0.0000  0.0000  0.0000
W  0.5000  0.5000  0.5000

A plane-wave DFT calculation with PBE was carried out for crystalline NdSb2Pd3 at its relaxed geometry.

Summary:
- Spin magnetization: 0.00 μB per atom
- Relative energy among the computed polymorphs: 0.030 eV/atom
- Space group: No. 12
- Volume: 20.9 A^3/atom

a = 4.6087 Å, b = 9.6682 Å, c = 6.7378 Å
α = 119.72°, β = 90.00°, γ = 103.79°
Sites, in units of the cell vectors:
Nd  0.8808  0.7615  0.9212
Nd  0.1192  0.2385  0.0788
Sb  0.4789  0.9579  0.7418
Sb  0.5211  0.0421  0.2582
Sb  0.7681  0.5363  0.2358
Sb  0.2319  0.4637  0.7642
Pd  0.3019  0.6038  0.5017
Pd  0.9300  0.8600  0.5239
Pd  0.6338  0.2676  0.7914
Pd  0.3662  0.7324  0.2086
Pd  0.0700  0.1400  0.4761
Pd  0.6981  0.3962  0.4983

A plane-wave DFT calculation with PBE was carried out for crystalline HfGaSn3 at its relaxed geometry.

Summary:
- Spin magnetization: 0.00 μB per atom
- Relative energy among the computed polymorphs: 0.386 eV/atom
- Space group: No. 221
- Volume: 28.1 A^3/atom

a = 5.1991 Å, b = 5.1991 Å, c = 5.1991 Å
α = 90.00°, β = 90.00°, γ = 90.00°
Sites, in units of the cell vectors:
Hf  0.5000  0.5000  0.5000
Sn  0.0000  0.5000  0.0000
Sn  0.0000  0.0000  0.5000
Sn  0.5000  0.0000  0.0000
Ga  0.0000  0.0000  0.0000

A plane-wave DFT calculation with PBE was carried out for crystalline Li3NiCl at its relaxed geometry.

Summary:
- Spin magnetization: 0.00 μB per atom
- Relative energy among the computed polymorphs: 0.000 eV/atom
- Space group: No. 221
- Volume: 18.0 A^3/atom

a = 4.4824 Å, b = 4.4824 Å, c = 4.4824 Å
α = 90.00°, β = 90.00°, γ = 90.00°
Each line ends with the local moment (μB).
Sites, in units of the cell vectors:
Ni  0.5000  0.5000  0.5000  0.30
Li  0.0000  0.5000  0.0000  -0.01
Li  0.0000  0.0000  0.5000  -0.01
Li  0.5000  0.0000  0.0000  0.00
Cl  0.0000  0.0000  0.0000  -0.01

A plane-wave DFT calculation with PBE was carried out for crystalline Nb3GePb at its relaxed geometry.

Summary:
- Spin magnetization: 0.00 μB per atom
- Relative energy among the computed polymorphs: 1.255 eV/atom
- Space group: No. 221
- Volume: 27.2 A^3/atom

a = 5.1429 Å, b = 5.1429 Å, c = 5.1429 Å
α = 90.00°, β = 90.00°, γ = 90.00°
Sites, in units of the cell vectors:
Pb  0.0000  0.0000  0.0000
Nb  0.0000  0.5000  0.0000
Nb  0.0000  0.0000  0.5000
Nb  0.5000  0.0000  0.0000
Ge  0.5000  0.5000  0.5000

A plane-wave DFT calculation with PBE was carried out for crystalline LaPr5NdSm2 at its relaxed geometry.

Summary:
- Spin magnetization: 0.00 μB per atom
- Calculated total energy: -4.532 eV/atom
- Space group: No. 140
- Volume: 36.1 A^3/atom

a = 9.0222 Å, b = 9.0222 Å, c = 10.2145 Å
α = 116.21°, β = 116.21°, γ = 90.00°
Sites, in units of the cell vectors:
La  0.2500  0.2500  0.5000
La  0.7500  0.7500  0.5000
Pr  0.9330  0.4330  0.2720
Pr  0.6610  0.1610  0.7280
Pr  0.0670  0.5670  0.7280
Pr  0.1610  0.0670  0.7280
Pr  0.5670  0.6610  0.7280
Pr  0.8390  0.9330  0.2720
Pr  0.4330  0.3390  0.2720
Pr  0.3390  0.8390  0.2720
Pr  0.5000  0.5000  0.0000
Pr  0.0000  0.0000  0.0000
Nd  0.2500  0.7500  0.5000
Nd  0.7500  0.2500  0.5000
Sm  0.1172  0.3828  0.0000
Sm  0.6172  0.1172  0.0000
Sm  0.3828  0.8828  0.0000
Sm  0.8828  0.6172  0.0000

A plane-wave DFT calculation with PBE was carried out for crystalline Sr4TlSn3 at its relaxed geometry.

Summary:
- Spin magnetization: 0.00 μB per atom
- Calculated total energy: -3.256 eV/atom
- Space group: No. 25
- Volume: 35.7 A^3/atom

a = 5.0083 Å, b = 4.6777 Å, c = 12.1855 Å
α = 90.00°, β = 90.00°, γ = 90.00°
Sites, in units of the cell vectors:
Sr  0.5000  0.5000  0.3659
Sr  0.0000  0.5000  0.8627
Sr  0.0000  0.0000  0.1339
Sr  0.5000  0.0000  0.6363
Tl  0.5000  0.5000  0.0827
Sn  0.0000  0.5000  0.5761
Sn  0.0000  0.0000  0.4220
Sn  0.5000  0.0000  0.9204

A plane-wave DFT calculation with PBE was carried out for crystalline Pr2SmP3 at its relaxed geometry.

Summary:
- Spin magnetization: 0.00 μB per atom
- Calculated total energy: -6.617 eV/atom
- Space group: No. 71
- Volume: 25.7 A^3/atom

a = 4.1774 Å, b = 5.8989 Å, c = 7.2249 Å
α = 114.09°, β = 106.80°, γ = 90.00°
Sites, in units of the cell vectors:
Pr  0.8330  0.8330  0.1661
Pr  0.1670  0.1670  0.8339
Sm  0.5000  0.5000  0.5000
P  0.8364  0.3364  0.1727
P  0.1636  0.6636  0.8273
P  0.5000  0.0000  0.5000

A plane-wave DFT calculation with PBE was carried out for crystalline Mg2PbBr at its relaxed geometry.

Summary:
- Spin magnetization: 0.00 μB per atom
- Relative energy among the computed polymorphs: 0.112 eV/atom
- Space group: No. 35
- Volume: 28.6 A^3/atom

a = 3.4192 Å, b = 3.4192 Å, c = 10.4970 Å
α = 90.00°, β = 90.00°, γ = 111.37°
Sites, in units of the cell vectors:
Br  0.5000  0.5000  0.8243
Mg  0.0000  0.0000  0.9889
Mg  0.5000  0.5000  0.2208
Pb  0.0000  0.0000  0.4660

A plane-wave DFT calculation with PBE was carried out for crystalline LaScCo at its relaxed geometry.

Summary:
- Spin magnetization: 0.24 μB per atom
- Relative energy among the computed polymorphs: 0.046 eV/atom
- Space group: No. 107
- Volume: 22.9 A^3/atom

a = 6.7111 Å, b = 6.7111 Å, c = 3.3036 Å
α = 75.75°, β = 75.75°, γ = 28.50°
Each line ends with the local moment (μB).
Sites, in units of the cell vectors:
Co  0.0152  0.0152  0.9848  0.80
La  0.3638  0.3638  0.6362  -0.02
Sc  0.6210  0.6210  0.3790  -0.05

A plane-wave DFT calculation with PBE was carried out for crystalline AlAgOs2 at its relaxed geometry.

Summary:
- Spin magnetization: 0.00 μB per atom
- Calculated total energy: -6.812 eV/atom
- Space group: No. 65
- Volume: 15.0 A^3/atom

a = 4.7792 Å, b = 4.7792 Å, c = 2.8129 Å
α = 90.00°, β = 90.00°, γ = 111.00°
Sites, in units of the cell vectors:
Os  0.0000  0.0000  0.0000
Os  0.5000  0.5000  0.0000
Al  0.0000  0.5000  0.5000
Ag  0.5000  0.0000  0.5000

A plane-wave DFT calculation with PBE was carried out for crystalline HoTiCdGa at its relaxed geometry.

Summary:
- Spin magnetization: 0.00 μB per atom
- Calculated total energy: -4.316 eV/atom
- Space group: No. 216
- Volume: 20.5 A^3/atom

a = 4.8791 Å, b = 4.8791 Å, c = 4.8791 Å
α = 60.00°, β = 60.00°, γ = 60.00°
Sites, in units of the cell vectors:
Ti  0.2500  0.2500  0.2500
Ho  0.7500  0.7500  0.7500
Ga  0.0000  0.0000  0.0000
Cd  0.5000  0.5000  0.5000

A plane-wave DFT calculation with PBE was carried out for crystalline MgScIO6 at its relaxed geometry.

Summary:
- Spin magnetization: 0.00 μB per atom
- Calculated total energy: -6.065 eV/atom
- Space group: No. 163
- Volume: 12.0 A^3/atom

a = 5.2630 Å, b = 5.2630 Å, c = 9.0401 Å
α = 90.00°, β = 90.00°, γ = 120.00°
Sites, in units of the cell vectors:
Mg  0.0000  0.0000  0.0000
Mg  0.0000  0.0000  0.5000
Sc  0.3333  0.6667  0.2500
Sc  0.6667  0.3333  0.7500
I  0.6667  0.3333  0.2500
I  0.3333  0.6667  0.7500
O  0.6634  0.6327  0.1328
O  0.9693  0.3366  0.1328
O  0.3366  0.9693  0.6328
O  0.0307  0.6634  0.8672
O  0.3673  0.3366  0.3672
O  0.9693  0.6327  0.3672
O  0.6327  0.9693  0.8672
O  0.6634  0.0307  0.3672
O  0.0307  0.3673  0.6328
O  0.3673  0.0307  0.1328
O  0.6327  0.6634  0.6328
O  0.3366  0.3673  0.8672

A plane-wave DFT calculation with PBE was carried out for crystalline InAsRuCl at its relaxed geometry.

Summary:
- Spin magnetization: 0.00 μB per atom
- Relative energy among the computed polymorphs: 0.033 eV/atom
- Space group: No. 8
- Volume: 21.6 A^3/atom

a = 9.5397 Å, b = 3.2709 Å, c = 5.6523 Å
α = 90.00°, β = 100.93°, γ = 90.00°
Sites, in units of the cell vectors:
Ru  0.4300  0.0000  0.2075
Ru  0.4300  0.5000  0.7075
As  0.6029  0.0000  0.9285
As  0.6029  0.5000  0.4285
Cl  0.9991  0.0000  0.4033
Cl  0.9991  0.5000  0.9033
In  0.2047  0.0000  0.8019
In  0.2047  0.5000  0.3019

A plane-wave DFT calculation with PBE was carried out for crystalline SrTbCdRh at its relaxed geometry.

Summary:
- Spin magnetization: 0.00 μB per atom
- Calculated total energy: -3.928 eV/atom
- Space group: No. 216
- Volume: 25.1 A^3/atom

a = 5.2169 Å, b = 5.2169 Å, c = 5.2169 Å
α = 60.00°, β = 60.00°, γ = 60.00°
Sites, in units of the cell vectors:
Rh  0.5000  0.5000  0.5000
Tb  0.7500  0.7500  0.7500
Sr  0.2500  0.2500  0.2500
Cd  0.0000  0.0000  0.0000

A plane-wave DFT calculation with PBE was carried out for crystalline Fe3Re at its relaxed geometry.

Summary:
- Spin magnetization: 0.09 μB per atom
- Calculated total energy: -9.382 eV/atom
- Space group: No. 221
- Volume: 11.5 A^3/atom

a = 3.5803 Å, b = 3.5803 Å, c = 3.5803 Å
α = 90.00°, β = 90.00°, γ = 90.00°
Each line ends with the local moment (μB).
Sites, in units of the cell vectors:
Re  0.5000  0.5000  0.0000  -0.08
Fe  0.0000  0.0000  0.0000  0.15
Fe  0.0000  0.5000  0.5000  0.15
Fe  0.5000  0.0000  0.5000  0.15